[1]
This record from the Alexandria database describes a relaxed structure of LaAsSe3. The functional is GGA-PBE.

abc: 7.483 7.638 11.417
angles: 90.00 122.05 90.00
Space group P2_1/c (No. 14)
Inequivalent atoms, fractional coordinates:
La (0.211, 0.162, 0.243)
As (0.185, 0.563, 0.104)
Se (0.035, 0.182, 0.915)
Se (0.274, 0.666, 0.942)
Se (0.489, 0.505, 0.328)

Summary:
Distance to the lowest polymorph of the same formula ... 8.4 kJ per mole of atoms

[2]
This record from the Alexandria database describes a relaxed structure of LaAsSe. The functional is GGA-PBE.

abc: 4.9338 4.9338 3.9120
angles: 90.00 90.00 120.00
Space group P3m1 (No. 156)
Inequivalent atoms, fractional coordinates:
La (0.0000, 0.0000, 0.0000)
As (0.3333, 0.6667, 0.5045)
Se (0.6667, 0.3333, 0.0154)

[3]
This record from the Alexandria database describes a relaxed structure of LaAsSe3. The functional is GGA-PBE.

abc: 5.059 5.059 5.059
angles: 90.00 90.00 90.00
Space group Pm-3m (No. 221)
Inequivalent atoms, fractional coordinates:
La (0.000, 0.000, 0.000)
As (0.500, 0.500, 0.500)
Se (0.000, 0.500, 0.500)

Summary:
Distance to the lowest polymorph of the same formula ... 29.3 kJ per mole of atoms

[4]
This record from the Alexandria database describes a relaxed structure of La3As2Se. The functional is GGA-PBE.

abc: 4.357 6.161 13.060
angles: 90.00 90.00 90.00
Space group Immm (No. 71)
Inequivalent atoms, fractional coordinates:
La (0.000, 0.000, 0.000)
La (0.000, 0.000, 0.329)
As (0.000, 0.500, 0.334)
Se (0.000, 0.500, 0.000)

[5]
This record from the Alexandria database describes a relaxed structure of LaAs3Se. The functional is GGA-PBE.

abc: 5.704 5.704 5.704
angles: 90.00 90.00 90.00
Space group Pm-3m (No. 221)
Inequivalent atoms, fractional coordinates:
La (0.000, 0.000, 0.000)
As (0.000, 0.000, 0.500)
Se (0.500, 0.500, 0.500)

Summary:
Distance to the lowest polymorph of the same formula ... 93.7 kJ per mole of atoms

[6]
This record from the Alexandria database describes a relaxed structure of La2AsSe. The functional is GGA-PBE.

abc: 7.370 7.370 7.370
angles: 90.00 90.00 90.00
Space group F-43m (No. 216)
Inequivalent atoms, fractional coordinates:
La (0.000, 0.000, 0.000)
La (0.250, 0.250, 0.250)
As (0.000, 0.000, 0.500)
Se (0.250, 0.250, 0.750)

Summary:
Distance to the lowest polymorph of the same formula ... 114.5 kJ per mole of atoms

Number 1: energy -99.4 eV for the cell shown. Number 2: energy -15.4 eV for the cell shown. Number 3: energy -23.8 eV for the cell shown. Number 4: energy -76.4 eV for the cell shown. Number 5: energy -17.9 eV for the cell shown. Number 6: energy -82.4 eV for the cell shown.